The following is a DFT calculation (PBE with a Hubbard U) of Sr3Cr5F12 after structural relaxation.

Summary:
Raw total energy ... -116.323 eV per formula unit

a = 11.947 Å, b = 11.947 Å, c = 11.947 Å
α = 109.47°, β = 109.47°, γ = 109.47°
Atoms (fractional coordinates):
Sr  0.125  0.250  0.375
Sr  0.125  0.375  0.750
Sr  0.250  0.375  0.125
Sr  0.250  0.875  0.625
Sr  0.375  0.125  0.250
Sr  0.375  0.750  0.125
Sr  0.625  0.250  0.875
Sr  0.625  0.875  0.750
Sr  0.750  0.125  0.375
Sr  0.750  0.625  0.875
Sr  0.875  0.625  0.250
Sr  0.875  0.750  0.625
Cr  0.000  0.000  0.000
Cr  0.000  0.000  0.500
Cr  0.000  0.500  0.000
Cr  0.000  0.500  0.500
Cr  0.125  0.750  0.875
Cr  0.125  0.875  0.250
Cr  0.250  0.125  0.875
Cr  0.250  0.625  0.375
Cr  0.375  0.250  0.625
Cr  0.375  0.625  0.750
Cr  0.500  0.000  0.000
Cr  0.500  0.000  0.500
Cr  0.500  0.500  0.000
Cr  0.500  0.500  0.500
Cr  0.625  0.375  0.250
Cr  0.625  0.750  0.375
Cr  0.750  0.375  0.625
Cr  0.750  0.875  0.125
Cr  0.875  0.125  0.750
Cr  0.875  0.250  0.125
F  0.047  0.215  0.132
F  0.047  0.332  0.914
F  0.082  0.715  0.668
F  0.082  0.868  0.414
F  0.086  0.632  0.418
F  0.086  0.953  0.668
F  0.132  0.047  0.215
F  0.132  0.586  0.918
F  0.168  0.215  0.582
F  0.168  0.453  0.586
F  0.215  0.132  0.047
F  0.215  0.582  0.168
F  0.285  0.332  0.918
F  0.285  0.453  0.368
F  0.332  0.914  0.047
F  0.332  0.918  0.285
F  0.368  0.285  0.453
F  0.368  0.582  0.914
F  0.414  0.082  0.868
F  0.414  0.832  0.547
F  0.418  0.086  0.632
F  0.418  0.832  0.785
F  0.453  0.368  0.285
F  0.453  0.586  0.168
F  0.547  0.414  0.832
F  0.547  0.632  0.715
F  0.582  0.168  0.215
F  0.582  0.914  0.368
F  0.586  0.168  0.453
F  0.586  0.918  0.132
F  0.632  0.418  0.086
F  0.632  0.715  0.547
F  0.668  0.082  0.715
F  0.668  0.086  0.953
F  0.715  0.547  0.632
F  0.715  0.668  0.082
F  0.785  0.418  0.832
F  0.785  0.868  0.953
F  0.832  0.547  0.414
F  0.832  0.785  0.418
F  0.868  0.414  0.082
F  0.868  0.953  0.785
F  0.914  0.047  0.332
F  0.914  0.368  0.582
F  0.918  0.132  0.586
F  0.918  0.285  0.332
F  0.953  0.668  0.086
F  0.953  0.785  0.868